[1]
# ZnNiPt

ZnNiPt after structural relaxation (PBE-GGA, Alexandria via LeMat-Bulk).

* symmetry: No. 8
* D(E_F): 0.698 states/eV per atom
* volume: 13.46 Å³ per atom
* formation energy from the elements: -0.30 eV per atom

Cell lengths 4.5059, 2.7797, 13.4010 Å; angles 90.00, 105.71, 90.00 degrees
Atoms (fractional coordinates):
Zn  0.1207  0.0000  0.1871
Zn  0.1207  0.5000  0.6871
Zn  0.6310  0.0000  0.3596
Zn  0.6310  0.5000  0.8596
Ni  0.6092  0.0000  0.6949
Ni  0.6092  0.5000  0.1949
Ni  0.1359  0.0000  0.5297
Ni  0.1359  0.5000  0.0297
Pt  0.1206  0.0000  0.8546
Pt  0.1206  0.5000  0.3546
Pt  0.6292  0.0000  0.0307
Pt  0.6292  0.5000  0.5307


[2]
# Y3Tm2ScS6

Y3Tm2ScS6 after structural relaxation (PBE-GGA, Alexandria via LeMat-Bulk).

* raw formation energy: -1.95 eV per atom
* symmetry: No. 12
* D(E_F): 0.447 states/eV per atom
* volume: 20.30 Å³ per atom

Cell lengths 3.8481, 7.7487, 8.6244 Å; angles 103.33, 102.89, 90.00 degrees
Atoms (fractional coordinates):
Y  0.5000  0.5000  0.0000
Y  0.8326  0.1652  0.6652
Y  0.1674  0.8348  0.3348
Tm  0.8345  0.6689  0.6690
Tm  0.1655  0.3311  0.3310
Sc  0.5000  0.0000  0.0000
S  0.3378  0.9143  0.6757
S  0.6685  0.5791  0.3370
S  0.6622  0.0857  0.3243
S  0.0007  0.2392  0.0014
S  0.9993  0.7608  0.9986
S  0.3315  0.4209  0.6630


[3]
# Y2Zr3Sn4

Y2Zr3Sn4 after structural relaxation (PBE-GGA, Alexandria via LeMat-Bulk).

* symmetry: No. 14
* D(E_F): 0.813 states/eV per atom
* volume: 24.85 Å³ per atom
* formation energy from the elements: -0.69 eV per atom

Cell lengths 7.6926, 7.8893, 7.8681 Å; angles 90.00, 90.00, 110.46 degrees
Atoms (fractional coordinates):
Y  0.5571  0.1859  0.3308
Y  0.9429  0.8141  0.8308
Y  0.4429  0.8141  0.6692
Y  0.0571  0.1859  0.1692
Zr  0.0000  0.5000  0.5000
Zr  0.5000  0.5000  0.0000
Zr  0.7461  0.2537  0.8247
Zr  0.7539  0.7463  0.3247
Zr  0.2539  0.7463  0.1753
Zr  0.2461  0.2537  0.6753
Sn  0.8492  0.0832  0.5351
Sn  0.6508  0.9168  0.0351
Sn  0.1508  0.9168  0.4649
Sn  0.3492  0.0832  0.9649
Sn  0.8591  0.4841  0.1363
Sn  0.6409  0.5159  0.6363
Sn  0.1409  0.5159  0.8637
Sn  0.3591  0.4841  0.3637


Please write out number 2 again, unchanged.
# Y3Tm2ScS6

Y3Tm2ScS6 after structural relaxation (PBE-GGA, Alexandria via LeMat-Bulk).

* raw formation energy: -1.95 eV per atom
* symmetry: No. 12
* D(E_F): 0.447 states/eV per atom
* volume: 20.30 Å³ per atom

Cell lengths 3.8481, 7.7487, 8.6244 Å; angles 103.33, 102.89, 90.00 degrees
Atoms (fractional coordinates):
Y  0.5000  0.5000  0.0000
Y  0.8326  0.1652  0.6652
Y  0.1674  0.8348  0.3348
Tm  0.8345  0.6689  0.6690
Tm  0.1655  0.3311  0.3310
Sc  0.5000  0.0000  0.0000
S  0.3378  0.9143  0.6757
S  0.6685  0.5791  0.3370
S  0.6622  0.0857  0.3243
S  0.0007  0.2392  0.0014
S  0.9993  0.7608  0.9986
S  0.3315  0.4209  0.6630